YCr2Ru: optimized geometry, GGA-PBE.

Total DFT energy (no corrections) in eV/atom: -8.18
Total magnetic moment in μB per cell: 11.9
V in Å³ per cell: 136.1

Geometry as CIF:
```
data_YCr2Ru
_cell_length_a 5.796
_cell_length_b 7.575
_cell_length_c 3.099
_cell_angle_alpha 90.00
_cell_angle_beta 90.00
_cell_angle_gamma 90.00
_space_group_name_H-M_alt 'C m m m'
_space_group_IT_number 65
_space_group_name_Hall '-C 2 2'
loop_
_atom_site_label
_atom_site_type_symbol
_atom_site_fract_x
_atom_site_fract_y
_atom_site_fract_z
Y1 Y 0.000 0.000 0.000
Cr1 Cr 0.250 0.250 0.500
Ru1 Ru 0.000 0.500 0.000
```

YCr2Ru: optimized geometry, GGA-PBE.

Total DFT energy (no corrections) in eV/atom: -8.18
Total magnetic moment in μB per cell: 0.0
V in Å³ per cell: 124.6

Geometry as CIF:
```
data_YCr2Ru
_cell_length_a 5.298
_cell_length_b 8.796
_cell_length_c 2.837
_cell_angle_alpha 90.00
_cell_angle_beta 109.54
_cell_angle_gamma 90.00
_space_group_name_H-M_alt 'C 1 2/m 1'
_space_group_IT_number 12
loop_
_space_group_symop_operation_xyz
'x,y,z'
'-x,-y,-z'
'-x,y,-z'
'x,-y,z'
'x+1/2,y+1/2,z'
'-x+1/2,-y+1/2,-z'
'-x+1/2,y+1/2,-z'
'x+1/2,-y+1/2,z'
loop_
_atom_site_label
_atom_site_type_symbol
_atom_site_fract_x
_atom_site_fract_y
_atom_site_fract_z
Y1 Y 0.000 0.000 0.000
Cr1 Cr 0.250 0.250 0.500
Ru1 Ru 0.000 0.500 0.000
```

Y2Cr2Ru: optimized geometry, GGA-PBE.

Total DFT energy (no corrections) in eV/atom: -7.54
Total magnetic moment in μB per cell: 2.3
V in Å³ per cell: 209.6

Geometry as CIF:
```
data_Y2Cr2Ru
_cell_length_a 5.580
_cell_length_b 5.580
_cell_length_c 6.732
_cell_angle_alpha 90.00
_cell_angle_beta 90.00
_cell_angle_gamma 90.00
_space_group_name_H-M_alt 'I 4/m m m'
_space_group_IT_number 139
_space_group_name_Hall '-I 4 2'
loop_
_atom_site_label
_atom_site_type_symbol
_atom_site_fract_x
_atom_site_fract_y
_atom_site_fract_z
Y1 Y 0.000 0.500 0.250
Cr1 Cr 0.000 0.000 0.138
Ru1 Ru 0.000 0.000 0.500
```

YCr2Ru: optimized geometry, GGA-PBE.

Total DFT energy (no corrections) in eV/atom: -8.43
Total magnetic moment in μB per cell: 0.1
V in Å³ per cell: 68.9

Geometry as CIF:
```
data_YCr2Ru
_cell_length_a 3.024
_cell_length_b 3.951
_cell_length_c 5.953
_cell_angle_alpha 90.00
_cell_angle_beta 104.39
_cell_angle_gamma 90.00
_space_group_name_H-M_alt 'P 1 m 1'
_space_group_IT_number 6
loop_
_space_group_symop_operation_xyz
'x,y,z'
'x,-y,z'
loop_
_atom_site_label
_atom_site_type_symbol
_atom_site_fract_x
_atom_site_fract_y
_atom_site_fract_z
Y1 Y 0.000 0.000 0.000
Cr1 Cr 0.019 0.000 0.496
Cr2 Cr 0.607 0.500 0.337
Ru1 Ru 0.404 0.500 0.717
```

YCr2Ru: optimized geometry, GGA-PBE.

Total DFT energy (no corrections) in eV/atom: -8.36
Total magnetic moment in μB per cell: 0.0
V in Å³ per cell: 67.5

Geometry as CIF:
```
data_YCr2Ru
_cell_length_a 2.900
_cell_length_b 4.203
_cell_length_c 5.703
_cell_angle_alpha 90.00
_cell_angle_beta 103.85
_cell_angle_gamma 90.00
_space_group_name_H-M_alt 'P 1 2/m 1'
_space_group_IT_number 10
loop_
_space_group_symop_operation_xyz
'x,y,z'
'-x,-y,-z'
'-x,y,-z'
'x,-y,z'
loop_
_atom_site_label
_atom_site_type_symbol
_atom_site_fract_x
_atom_site_fract_y
_atom_site_fract_z
Y1 Y 0.000 0.000 0.000
Cr1 Cr 0.450 0.500 0.668
Ru1 Ru 0.000 0.000 0.500
```

YCr2Ru: optimized geometry, GGA-PBE.

Total DFT energy (no corrections) in eV/atom: -8.40
Total magnetic moment in μB per cell: 1.9
V in Å³ per cell: 133.8

Geometry as CIF:
```
data_YCr2Ru
_cell_length_a 3.169
_cell_length_b 4.755
_cell_length_c 8.883
_cell_angle_alpha 90.00
_cell_angle_beta 90.00
_cell_angle_gamma 90.00
_space_group_name_H-M_alt 'I m m 2'
_space_group_IT_number 44
loop_
_space_group_symop_operation_xyz
'x,y,z'
'-x,-y,z'
'-x,y,z'
'x,-y,z'
'x+1/2,y+1/2,z+1/2'
'-x+1/2,-y+1/2,z+1/2'
'-x+1/2,y+1/2,z+1/2'
'x+1/2,-y+1/2,z+1/2'
loop_
_atom_site_label
_atom_site_type_symbol
_atom_site_fract_x
_atom_site_fract_y
_atom_site_fract_z
Y1 Y 0.000 0.000 0.000
Cr1 Cr 0.000 0.000 0.511
Cr2 Cr 0.000 0.500 0.782
Ru1 Ru 0.000 0.500 0.235
```

YCr2Ru: optimized geometry, GGA-PBE.

Total DFT energy (no corrections) in eV/atom: -8.18
Total magnetic moment in μB per cell: 2.9
V in Å³ per cell: 63.5

Geometry as CIF:
```
data_YCr2Ru
_cell_length_a 4.536
_cell_length_b 4.536
_cell_length_c 3.087
_cell_angle_alpha 90.00
_cell_angle_beta 90.00
_cell_angle_gamma 90.00
_space_group_name_H-M_alt 'P 4/m m m'
_space_group_IT_number 123
_space_group_name_Hall '-P 4 2'
loop_
_atom_site_label
_atom_site_type_symbol
_atom_site_fract_x
_atom_site_fract_y
_atom_site_fract_z
Y1 Y 0.000 0.000 0.000
Cr1 Cr 0.000 0.500 0.500
Ru1 Ru 0.500 0.500 0.000
```

YCr2Ru: optimized geometry, GGA-PBE.

Total DFT energy (no corrections) in eV/atom: -8.43
Total magnetic moment in μB per cell: 0.4
V in Å³ per cell: 137.5

Geometry as CIF:
```
data_YCr2Ru
_cell_length_a 9.214
_cell_length_b 3.054
_cell_length_c 5.165
_cell_angle_alpha 90.00
_cell_angle_beta 108.87
_cell_angle_gamma 90.00
_space_group_name_H-M_alt 'C 1 m 1'
_space_group_IT_number 8
loop_
_space_group_symop_operation_xyz
'x,y,z'
'x,-y,z'
'x+1/2,y+1/2,z'
'x+1/2,-y+1/2,z'
loop_
_atom_site_label
_atom_site_type_symbol
_atom_site_fract_x
_atom_site_fract_y
_atom_site_fract_z
Y1 Y 0.000 0.000 0.000
Cr1 Cr 0.001 0.500 0.503
Cr2 Cr 0.288 0.500 0.344
Ru1 Ru 0.229 0.000 0.684
```